VASP calculation (PBE) on a relaxed TbY2B2Pd2N3 crystal.

a = 10.4853 Å, b = 10.4853 Å, c = 10.4853 Å
α = 159.97°, β = 159.97°, γ = 28.48°
Last column: nearest neighbours and their distance in Å.
Fractional coordinates of all 10 atoms:
N 0.8855 0.8855 0.0000  1 B 1.43
N 0.5000 0.5000 0.0000  2 Y 2.41, 4 Tb 2.58
N 0.1145 0.1145 0.0000  1 B 1.43
Pd 0.7500 0.2500 0.5000  4 B 2.25
Pd 0.2500 0.7500 0.5000  4 B 2.25
Y 0.3814 0.3814 0.0000  5 N 2.41-2.58
Y 0.6186 0.6186 0.0000  5 N 2.41-2.58
Tb 0.0000 0.0000 0.0000  6 N 2.33-2.58
B 0.8152 0.8152 0.0000  1 N 1.43
B 0.1848 0.1848 0.0000  1 N 1.43

- Space group: I4/mmm (139)

---

VASP calculation (PBE) on a relaxed Pd8Pb crystal.

a = 4.7827 Å, b = 4.7827 Å, c = 25.9407 Å
α = 90.54°, β = 90.54°, γ = 48.31°
Last column: nearest neighbours and their distance in Å.
Fractional coordinates of all 18 atoms:
Pd 0.8491 0.8491 0.6894  11 Pd 2.75-2.83, 1 Pb 2.93
Pd 0.4520 0.4520 0.6205  12 Pd 2.76-2.83
Pd 0.3512 0.3512 0.5175  12 Pd 2.76-2.80
Pd 0.2477 0.2477 0.7596  6 Pd 2.76-2.84, 3 Pb 2.80-2.81
Pd 0.5480 0.5480 0.3795  12 Pd 2.76-2.83
Pd 0.6488 0.6488 0.4825  12 Pd 2.76-2.80
Pd 0.8481 0.8481 0.3455  12 Pd 2.75-2.84
Pd 0.9478 0.9478 0.4486  12 Pd 2.76-2.81
Pd 0.4506 0.4506 0.2751  9 Pd 2.76-2.83, 2 Pb 2.87
Pd 0.7521 0.7521 0.5852  12 Pd 2.76-2.83
Pd 0.7523 0.7523 0.2404  6 Pd 2.76-2.84, 3 Pb 2.80-2.81
Pd 0.0522 0.0522 0.5514  12 Pd 2.76-2.81
Pd 0.2479 0.2479 0.4148  12 Pd 2.76-2.83
Pd 0.1519 0.1519 0.6545  12 Pd 2.75-2.84
Pd 0.5494 0.5494 0.7249  9 Pd 2.76-2.83, 2 Pb 2.87
Pd 0.1509 0.1509 0.3106  11 Pd 2.75-2.83, 1 Pb 2.93
Pb 0.0518 0.0518 0.2021  6 Pd 2.80-2.93
Pb 0.9482 0.9482 0.7979  6 Pd 2.80-2.93

- Space group: C2/m (12)

---

VASP calculation (PBE) on a relaxed HfFeGePd crystal.

a = 4.4973 Å, b = 4.4973 Å, c = 4.4973 Å
α = 60.00°, β = 60.00°, γ = 60.00°
Last column: nearest neighbours and their distance in Å.
Fractional coordinates of all 4 atoms:
Fe 0.7500 0.7500 0.7500  4 Ge 2.75, 4 Pd 2.75
Pd 0.5000 0.5000 0.5000  4 Hf 2.75, 4 Fe 2.75
Ge 0.0000 0.0000 0.0000  4 Fe 2.75, 4 Hf 2.75
Hf 0.2500 0.2500 0.2500  4 Pd 2.75, 4 Ge 2.75

- Space group: F-43m (216)

---

no.,final energy (eV per atom)
1,-7.78
2,-5.05
3,-7.29